Na2HfTlI8 PBE-GGA relaxed; E_tot = -3.13 eV/atom; energy relative to the elements, uncorrected = -0.847 eV/atom
1.0
-5.190 -2.031 -5.199
1.426 -6.445 1.589
-7.116 0.144 7.047
Hf I Tl Na
1 8 1 2
Direct
0.000 0.000 0.000
0.470 0.244 0.500
0.138 0.762 0.205
0.139 0.763 0.796
0.530 0.756 0.500
0.677 0.764 0.000
0.323 0.236 0.000
0.862 0.238 0.795
0.861 0.237 0.204
0.000 0.000 0.500
0.500 0.500 0.229
0.500 0.500 0.771